Below is a relaxed RbCdSb2 crystal, with properties calculated at the GGA-PBE level.

Calculated values
volume: 1175 Å³ per cell

a b c (Å): 6.5236 28.9830 6.2169
angles (deg): 90.00 90.00 90.00
Space group Fmm2 (No. 42)
Unique sites:
Rb 0.0000 0.1126 0.0000 [8 per cell]
Cd 0.2500 0.2500 0.2498 [8 per cell]
Sb 0.0000 0.1844 0.4998 [8 per cell]
Sb 0.2171 0.0000 0.7046 [8 per cell]



Below is a relaxed Rb2CdSb crystal, with properties calculated at the GGA-PBE level.

Calculated values
volume: 663 Å³ per cell

a b c (Å): 8.7217 8.7217 8.7217
angles (deg): 90.00 90.00 90.00
Space group Fm-3m (No. 225)
Unique sites:
Rb 0.2500 0.2500 0.2500 [8 per cell]
Cd 0.0000 0.0000 0.0000 [4 per cell]
Sb 0.0000 0.0000 0.5000 [4 per cell]



Below is a relaxed RbCd2Sb2 crystal, with properties calculated at the GGA-PBE level.

Calculated values
volume: 325 Å³ per cell

a b c (Å): 4.7621 4.7621 14.3115
angles (deg): 90.00 90.00 90.00
Space group I4/mmm (No. 139)
Unique sites:
Rb 0.0000 0.0000 0.0000 [2 per cell]
Cd 0.0000 0.5000 0.2500 [4 per cell]
Sb 0.0000 0.0000 0.3740 [4 per cell]



Below is a relaxed RbCdSb2 crystal, with properties calculated at the GGA-PBE level.

Calculated values
volume: 459 Å³ per cell

a b c (Å): 5.2045 5.2045 19.5697
angles (deg): 90.00 90.00 120.00
Space group R-3m (No. 166, hexagonal axes)
Unique sites:
Rb 0.0000 0.0000 0.0000 [3 per cell]
Cd 0.0000 0.0000 0.5000 [3 per cell]
Sb 0.0000 0.0000 0.1986 [6 per cell]



Below is a relaxed Rb2CdSb2 crystal, with properties calculated at the GGA-PBE level.

Calculated values
volume: 373 Å³ per cell

a b c (Å): 7.8783 7.8783 6.0042
angles (deg): 90.00 90.00 90.00
Space group P4/mbm (No. 127)
Unique sites:
Rb 0.1682 0.3318 0.0000 [4 per cell]
Cd 0.0000 0.0000 0.5000 [2 per cell]
Sb 0.1338 0.6338 0.5000 [4 per cell]



Below is a relaxed RbCd2Sb2 crystal, with properties calculated at the GGA-PBE level.

Calculated values
volume: 345 Å³ per cell

a b c (Å): 6.7920 8.0244 8.0457
angles (deg): 109.09 102.12 114.53
Space group P-1 (No. 2)
Unique sites:
Rb 0.1424 0.3929 0.2939 [2 per cell]
Cd 0.2821 0.0388 0.5721 [2 per cell]
Cd 0.4961 0.7428 0.9866 [2 per cell]
Sb 0.1338 0.3035 0.7882 [2 per cell]
Sb 0.3646 0.0251 0.2224 [2 per cell]



Below is a relaxed RbCd2Sb2 crystal, with properties calculated at the GGA-PBE level.

Calculated values
volume: 319 Å³ per cell

a b c (Å): 5.1947 5.1947 11.8039
angles (deg): 90.00 90.00 90.00
Space group P4/nmm (No. 129, origin choice 2)
Unique sites:
Rb 0.2500 0.2500 0.2488 [2 per cell]
Cd 0.2500 0.2500 0.8716 [2 per cell]
Cd 0.2500 0.7500 0.5000 [2 per cell]
Sb 0.2500 0.2500 0.6277 [2 per cell]
Sb 0.2500 0.7500 0.0000 [2 per cell]



Below is a relaxed Rb2Cd6Sb3 crystal, with properties calculated at the GGA-PBE level.

Calculated values
volume: 340 Å³ per cell

a b c (Å): 9.0096 9.0096 4.8358
angles (deg): 90.00 90.00 120.00
Space group P-62m (No. 189)
Unique sites:
Rb 0.3333 0.6667 0.0000 [2 per cell]
Cd 0.0000 0.2926 0.5000 [3 per cell]
Cd 0.0000 0.8149 0.0000 [3 per cell]
Sb 0.0000 0.6312 0.5000 [3 per cell]



Below is a relaxed RbCdSb3 crystal, with properties calculated at the GGA-PBE level.

Calculated values
volume: 226 Å³ per cell

a b c (Å): 6.0911 6.0911 6.0911
angles (deg): 90.00 90.00 90.00
Space group Pm-3m (No. 221)
Unique sites:
Rb 0.0000 0.0000 0.0000 [1 per cell]
Cd 0.5000 0.5000 0.5000 [1 per cell]
Sb 0.0000 0.0000 0.5000 [3 per cell]



Below is a relaxed Rb2CdSb crystal, with properties calculated at the GGA-PBE level.

Calculated values
volume: 687 Å³ per cell

a b c (Å): 5.3167 5.3167 24.3117
angles (deg): 90.00 90.00 90.00
Space group I-42d (No. 122)
Unique sites:
Rb 0.2462 0.2500 0.1250 [8 per cell]
Cd 0.0000 0.0000 0.0000 [4 per cell]
Sb 0.0000 0.0000 0.5000 [4 per cell]



no.,ΔE_f (raw) (meV/atom),mass density (Mg/m³)
1,-241,4.99
2,-97,4.06
3,-239,5.67
4,-70,4.79
5,-285,4.70
6,-199,5.33
7,-269,5.77
8,-170,5.91
9,1346,4.14
10,119,3.92